Entry 1:
The following is a DFT calculation (PBE) of a relaxed structure of Pm2Ga2BRu2. Values from VASP.

Summary:
Space group   C2/m, No. 12
Density   7964 kg/m3
Fermi-level density of states   4.6 states/eV/f.u.

Structure (Quantum ESPRESSO input):
```
&SYSTEM
  ibrav = 0, nat = 7, ntyp = 4
/
ATOMIC_SPECIES
Pm 145.00 Pm.upf
Ga 69.72 Ga.upf
B 10.81 B.upf
Ru 101.07 Ru.upf
CELL_PARAMETERS angstrom
5.578 -2.105 0.000
5.578 2.105 0.000
-4.502 0.000 5.703
ATOMIC_POSITIONS crystal
Pm 0.065 0.065 0.299
Pm 0.935 0.935 0.701
Ga 0.349 0.349 0.305
Ga 0.651 0.651 0.695
B 0.500 0.500 0.000
Ru 0.294 0.294 0.910
Ru 0.706 0.706 0.090
```

***

Entry 2:
The following is a DFT calculation (PBE) of a relaxed structure of TaZn2Co. Values from VASP.

Summary:
Space group   Cm, No. 8
ΔE to the lowest computed polymorph   139 meV per atom
Density   10725 kg/m3
Fermi-level density of states   3.0 states/eV/f.u.

Structure (Quantum ESPRESSO input):
```
&SYSTEM
  ibrav = 0, nat = 4, ntyp = 3
/
ATOMIC_SPECIES
Ta 180.95 Ta.upf
Zn 65.41 Zn.upf
Co 58.93 Co.upf
CELL_PARAMETERS angstrom
4.379 -1.362 0.000
4.379 1.362 0.000
-0.864 0.000 4.811
ATOMIC_POSITIONS crystal
Ta 0.000 0.000 0.000
Zn 0.237 0.237 0.689
Zn 0.482 0.482 0.484
Co 0.752 0.752 0.191
```

***

Results for DFT formation energy: -544 61 (in meV/atom, following the order of the records).